[1]
Below is a geometry-optimized Er2Al9Pd3 structure, with properties calculated at the GGA-PBE level.

CIF file:
```
data_Er2Al9Pd3
_chemical_formula_sum 'Er8 Al36 Pd12'
_cell_length_a 13.207
_cell_length_b 7.696
_cell_length_c 9.424
_cell_angle_alpha 90.00
_cell_angle_beta 90.00
_cell_angle_gamma 90.00
_symmetry_space_group_name_H-M 'C m c m'
_symmetry_Int_Tables_number 63
_symmetry_space_group_name_Hall '-C 2c 2'
loop_
_atom_site_label
_atom_site_fract_x
_atom_site_fract_y
_atom_site_fract_z
Er1 0.161 0.168 0.250
Al1 0.000 0.129 0.750
Al2 0.000 0.333 0.058
Al3 0.105 0.443 0.750
Al4 0.168 0.168 0.577
Pd1 0.000 0.000 0.000
Pd2 0.172 0.500 0.000
```

Results
* total magnetic moment: 0.000 μB/cell
* DOS at the Fermi energy: 0.370 states/eV per atom
* total DFT energy (no corrections): -271.62 eV per cell


[2]
Below is a geometry-optimized ErAl2Pd9 structure, with properties calculated at the GGA-PBE level.

CIF file:
```
data_ErAl2Pd9
_chemical_formula_sum 'Er1 Al2 Pd9'
_cell_length_a 3.999
_cell_length_b 3.999
_cell_length_c 11.797
_cell_angle_alpha 90.00
_cell_angle_beta 90.00
_cell_angle_gamma 90.00
_symmetry_space_group_name_H-M 'P 4/m m m'
_symmetry_Int_Tables_number 123
_symmetry_space_group_name_Hall '-P 4 2'
loop_
_atom_site_label
_atom_site_fract_x
_atom_site_fract_y
_atom_site_fract_z
Er1 0.000 0.000 0.000
Al1 0.000 0.000 0.342
Pd1 0.000 0.500 0.181
Pd2 0.000 0.500 0.500
Pd3 0.500 0.500 0.000
Pd4 0.500 0.500 0.339
```

Results
* total magnetic moment: 0.000 μB/cell
* DOS at the Fermi energy: 0.795 states/eV per atom
* total DFT energy (no corrections): -67.15 eV per cell


[3]
Below is a geometry-optimized Er3Al3Pd2 structure, with properties calculated at the GGA-PBE level.

CIF file:
```
data_Er3Al3Pd2
_chemical_formula_sum 'Er12 Al12 Pd8'
_cell_length_a 8.128
_cell_length_b 15.000
_cell_length_c 5.549
_cell_angle_alpha 90.00
_cell_angle_beta 90.00
_cell_angle_gamma 90.00
_symmetry_space_group_name_H-M 'P n m a'
_symmetry_Int_Tables_number 62
loop_
_symmetry_equiv_pos_as_xyz
'x,y,z'
'-x,-y,-z'
'-x+1/2,-y,z+1/2'
'x+1/2,y,-z+1/2'
'x+1/2,-y+1/2,-z+1/2'
'-x+1/2,y+1/2,z+1/2'
'-x,y+1/2,-z'
'x,-y+1/2,z'
loop_
_atom_site_label
_atom_site_fract_x
_atom_site_fract_y
_atom_site_fract_z
Er1 0.037 0.112 0.115
Er2 0.182 0.250 0.620
Al1 0.169 0.750 0.616
Al2 0.187 0.034 0.608
Pd1 0.098 0.607 0.374
```

Results
* total magnetic moment: 0.000 μB/cell
* DOS at the Fermi energy: 0.789 states/eV per atom
* total DFT energy (no corrections): -163.83 eV per cell


[4]
Below is a geometry-optimized ErAl3Pd structure, with properties calculated at the GGA-PBE level.

CIF file:
```
data_ErAl3Pd
_chemical_formula_sum 'Er4 Al12 Pd4'
_cell_length_a 8.300
_cell_length_b 4.134
_cell_length_c 10.939
_cell_angle_alpha 90.00
_cell_angle_beta 90.00
_cell_angle_gamma 90.00
_symmetry_space_group_name_H-M 'P n m a'
_symmetry_Int_Tables_number 62
loop_
_symmetry_equiv_pos_as_xyz
'x,y,z'
'-x,-y,-z'
'-x+1/2,-y,z+1/2'
'x+1/2,y,-z+1/2'
'x+1/2,-y+1/2,-z+1/2'
'-x+1/2,y+1/2,z+1/2'
'-x,y+1/2,-z'
'x,-y+1/2,z'
loop_
_atom_site_label
_atom_site_fract_x
_atom_site_fract_y
_atom_site_fract_z
Er1 0.184 0.250 0.009
Al1 0.066 0.250 0.590
Al2 0.109 0.750 0.796
Al3 0.140 0.750 0.215
Pd1 0.105 0.250 0.359
```

Results
* total magnetic moment: 0.000 μB/cell
* DOS at the Fermi energy: 0.471 states/eV per atom
* distance to the lowest polymorph of the same formula: 0 meV per atom
* total DFT energy (no corrections): -97.09 eV per cell


[5]
Below is a geometry-optimized Er3Al12Pd structure, with properties calculated at the GGA-PBE level.

CIF file:
```
data_Er3Al12Pd
_chemical_formula_sum 'Er3 Al12 Pd1'
_cell_length_a 4.178
_cell_length_b 4.178
_cell_length_c 16.559
_cell_angle_alpha 90.00
_cell_angle_beta 90.00
_cell_angle_gamma 90.00
_symmetry_space_group_name_H-M 'P 4/m m m'
_symmetry_Int_Tables_number 123
_symmetry_space_group_name_Hall '-P 4 2'
loop_
_atom_site_label
_atom_site_fract_x
_atom_site_fract_y
_atom_site_fract_z
Er1 0.000 0.000 0.000
Er2 0.000 0.000 0.257
Al1 0.000 0.500 0.129
Al2 0.000 0.500 0.390
Al3 0.500 0.500 0.000
Al4 0.500 0.500 0.258
Al5 0.500 0.500 0.500
Pd1 0.000 0.000 0.500
```

Results
* total magnetic moment: 0.000 μB/cell
* DOS at the Fermi energy: 0.204 states/eV per atom
* total DFT energy (no corrections): -70.05 eV per cell


[6]
Below is a geometry-optimized ErAl2Pd7 structure, with properties calculated at the GGA-PBE level.

CIF file:
```
data_ErAl2Pd7
_chemical_formula_sum 'Er2 Al4 Pd14'
_cell_length_a 7.325
_cell_length_b 12.028
_cell_length_c 4.502
_cell_angle_alpha 90.00
_cell_angle_beta 90.00
_cell_angle_gamma 90.00
_symmetry_space_group_name_H-M 'C m m m'
_symmetry_Int_Tables_number 65
_symmetry_space_group_name_Hall '-C 2 2'
loop_
_atom_site_label
_atom_site_fract_x
_atom_site_fract_y
_atom_site_fract_z
Er1 0.000 0.000 0.000
Al1 0.000 0.300 0.500
Pd1 0.000 0.228 0.000
Pd2 0.000 0.500 0.500
Pd3 0.189 0.122 0.500
```

Results
* total magnetic moment: 0.000 μB/cell
* DOS at the Fermi energy: 0.412 states/eV per atom
* distance to the lowest polymorph of the same formula: 398 meV per atom
* total DFT energy (no corrections): -104.18 eV per cell


[7]
Below is a geometry-optimized Er2Al3Pd2 structure, with properties calculated at the GGA-PBE level.

CIF file:
```
data_Er2Al3Pd2
_chemical_formula_sum 'Er4 Al6 Pd4'
_cell_length_a 10.000
_cell_length_b 4.323
_cell_length_c 6.826
_cell_angle_alpha 90.00
_cell_angle_beta 114.31
_cell_angle_gamma 90.00
_symmetry_space_group_name_H-M 'C 1 2/m 1'
_symmetry_Int_Tables_number 12
loop_
_symmetry_equiv_pos_as_xyz
'x,y,z'
'-x,-y,-z'
'-x,y,-z'
'x,-y,z'
'x+1/2,y+1/2,z'
'-x+1/2,-y+1/2,-z'
'-x+1/2,y+1/2,-z'
'x+1/2,-y+1/2,z'
loop_
_atom_site_label
_atom_site_fract_x
_atom_site_fract_y
_atom_site_fract_z
Er1 0.148 0.000 0.278
Al1 0.000 0.500 0.500
Al2 0.121 0.500 0.939
Pd1 0.137 0.000 0.719
```

Results
* total magnetic moment: 0.000 μB/cell
* DOS at the Fermi energy: 0.618 states/eV per atom
* total DFT energy (no corrections): -72.66 eV per cell


[8]
Below is a geometry-optimized Er3Al9Pd2 structure, with properties calculated at the GGA-PBE level.

CIF file:
```
data_Er3Al9Pd2
_chemical_formula_sum 'Er6 Al18 Pd4'
_cell_length_a 4.301
_cell_length_b 9.773
_cell_length_c 12.357
_cell_angle_alpha 90.00
_cell_angle_beta 90.00
_cell_angle_gamma 90.00
_symmetry_space_group_name_H-M 'I m m m'
_symmetry_Int_Tables_number 71
_symmetry_space_group_name_Hall '-I 2 2'
loop_
_atom_site_label
_atom_site_fract_x
_atom_site_fract_y
_atom_site_fract_z
Er1 0.000 0.000 0.000
Er2 0.000 0.000 0.300
Al1 0.000 0.283 0.133
Al2 0.000 0.367 0.346
Al3 0.000 0.500 0.000
Pd1 0.000 0.191 0.500
```

Results
* total magnetic moment: 0.000 μB/cell
* DOS at the Fermi energy: 0.343 states/eV per atom
* total DFT energy (no corrections): -132.59 eV per cell


[9]
Below is a geometry-optimized Er6Al2Pd structure, with properties calculated at the GGA-PBE level.

CIF file:
```
data_Er6Al2Pd
_chemical_formula_sum 'Er24 Al8 Pd4'
_cell_length_a 9.643
_cell_length_b 9.668
_cell_length_c 9.961
_cell_angle_alpha 90.00
_cell_angle_beta 90.00
_cell_angle_gamma 90.00
_symmetry_space_group_name_H-M 'I m m m'
_symmetry_Int_Tables_number 71
_symmetry_space_group_name_Hall '-I 2 2'
loop_
_atom_site_label
_atom_site_fract_x
_atom_site_fract_y
_atom_site_fract_z
Er1 0.000 0.171 0.219
Er2 0.173 0.500 0.243
Er3 0.189 0.238 0.500
Al1 0.000 0.368 0.000
Al2 0.137 0.000 0.000
Pd1 0.000 0.000 0.500
Pd2 0.000 0.500 0.500
```

Results
* total magnetic moment: 0.000 μB/cell
* DOS at the Fermi energy: 0.759 states/eV per atom
* distance to the lowest polymorph of the same formula: 0 meV per atom
* total DFT energy (no corrections): -172.59 eV per cell


[10]
Below is a geometry-optimized ErAlPd6 structure, with properties calculated at the GGA-PBE level.

CIF file:
```
data_ErAlPd6
_chemical_formula_sum 'Er1 Al1 Pd6'
_cell_length_a 4.037
_cell_length_b 4.037
_cell_length_c 7.908
_cell_angle_alpha 90.00
_cell_angle_beta 90.00
_cell_angle_gamma 90.00
_symmetry_space_group_name_H-M 'P 4/m m m'
_symmetry_Int_Tables_number 123
_symmetry_space_group_name_Hall '-P 4 2'
loop_
_atom_site_label
_atom_site_fract_x
_atom_site_fract_y
_atom_site_fract_z
Er1 0.000 0.000 0.000
Al1 0.000 0.000 0.500
Pd1 0.000 0.500 0.267
Pd2 0.500 0.500 0.000
Pd3 0.500 0.500 0.500
```

Results
* total magnetic moment: 0.000 μB/cell
* DOS at the Fermi energy: 1.016 states/eV per atom
* distance to the lowest polymorph of the same formula: 0 meV per atom
* total DFT energy (no corrections): -45.46 eV per cell


[11]
Below is a geometry-optimized ErAl11Pd structure, with properties calculated at the GGA-PBE level.

CIF file:
```
data_ErAl11Pd
_chemical_formula_sum 'Er2 Al22 Pd2'
_cell_length_a 5.214
_cell_length_b 12.663
_cell_length_c 7.197
_cell_angle_alpha 90.00
_cell_angle_beta 108.71
_cell_angle_gamma 90.00
_symmetry_space_group_name_H-M 'C 1 2/m 1'
_symmetry_Int_Tables_number 12
loop_
_symmetry_equiv_pos_as_xyz
'x,y,z'
'-x,-y,-z'
'-x,y,-z'
'x,-y,z'
'x+1/2,y+1/2,z'
'-x+1/2,-y+1/2,-z'
'-x+1/2,y+1/2,-z'
'x+1/2,-y+1/2,z'
loop_
_atom_site_label
_atom_site_fract_x
_atom_site_fract_y
_atom_site_fract_z
Er1 0.000 0.000 0.000
Al1 0.000 0.000 0.500
Al2 0.106 0.392 0.221
Al3 0.169 0.177 0.354
Al4 0.250 0.250 0.000
Pd1 0.000 0.500 0.500
```

Results
* total magnetic moment: 0.000 μB/cell
* DOS at the Fermi energy: 0.405 states/eV per atom
* total DFT energy (no corrections): -107.49 eV per cell


[12]
Below is a geometry-optimized Er2Al6Pd structure, with properties calculated at the GGA-PBE level.

CIF file:
```
data_Er2Al6Pd
_chemical_formula_sum 'Er2 Al6 Pd1'
_cell_length_a 5.7812
_cell_length_b 5.7812
_cell_length_c 5.8819
_cell_angle_alpha 90.00
_cell_angle_beta 90.00
_cell_angle_gamma 120.00
_symmetry_space_group_name_H-M 'P -3 m 1'
_symmetry_Int_Tables_number 164
_symmetry_space_group_name_Hall '-P 3 2"'
loop_
_atom_site_label
_atom_site_fract_x
_atom_site_fract_y
_atom_site_fract_z
Er1 0.3333 0.6667 0.1348
Al1 0.1738 0.3476 0.6791
Pd1 0.0000 0.0000 0.0000
```

Results
* total magnetic moment: 0.000 μB/cell
* DOS at the Fermi energy: 0.632 states/eV per atom
* total DFT energy (no corrections): -41.59 eV per cell


[13]
Below is a geometry-optimized Er4Al3Pd structure, with properties calculated at the GGA-PBE level.

CIF file:
```
data_Er4Al3Pd
_chemical_formula_sum 'Er4 Al3 Pd1'
_cell_length_a 3.533
_cell_length_b 3.533
_cell_length_c 14.312
_cell_angle_alpha 90.00
_cell_angle_beta 90.00
_cell_angle_gamma 90.00
_symmetry_space_group_name_H-M 'P 4/m m m'
_symmetry_Int_Tables_number 123
_symmetry_space_group_name_Hall '-P 4 2'
loop_
_atom_site_label
_atom_site_fract_x
_atom_site_fract_y
_atom_site_fract_z
Er1 0.000 0.000 0.117
Er2 0.000 0.000 0.372
Al1 0.500 0.500 0.246
Al2 0.500 0.500 0.500
Pd1 0.500 0.500 0.000
```

Results
* total magnetic moment: 0.000 μB/cell
* DOS at the Fermi energy: 0.379 states/eV per atom
* distance to the lowest polymorph of the same formula: 0 meV per atom
* total DFT energy (no corrections): -38.93 eV per cell


[14]
Below is a geometry-optimized Er7Al2Pd2 structure, with properties calculated at the GGA-PBE level.

CIF file:
```
data_Er7Al2Pd2
_chemical_formula_sum 'Er14 Al4 Pd4'
_cell_length_a 7.892
_cell_length_b 10.826
_cell_length_c 6.980
_cell_angle_alpha 90.00
_cell_angle_beta 90.00
_cell_angle_gamma 90.00
_symmetry_space_group_name_H-M 'C m m m'
_symmetry_Int_Tables_number 65
_symmetry_space_group_name_Hall '-C 2 2'
loop_
_atom_site_label
_atom_site_fract_x
_atom_site_fract_y
_atom_site_fract_z
Er1 0.000 0.000 0.000
Er2 0.000 0.500 0.258
Er3 0.250 0.250 0.263
Al1 0.167 0.000 0.500
Pd1 0.000 0.292 0.000
```

Results
* total magnetic moment: 0.000 μB/cell
* DOS at the Fermi energy: 0.893 states/eV per atom
* total DFT energy (no corrections): -106.35 eV per cell


[15]
Below is a geometry-optimized Er11Al9Pd4 structure, with properties calculated at the GGA-PBE level.

CIF file:
```
data_Er11Al9Pd4
_chemical_formula_sum 'Er22 Al18 Pd8'
_cell_length_a 14.058
_cell_length_b 21.245
_cell_length_c 3.549
_cell_angle_alpha 90.00
_cell_angle_beta 90.00
_cell_angle_gamma 90.00
_symmetry_space_group_name_H-M 'C m m m'
_symmetry_Int_Tables_number 65
_symmetry_space_group_name_Hall '-C 2 2'
loop_
_atom_site_label
_atom_site_fract_x
_atom_site_fract_y
_atom_site_fract_z
Er1 0.000 0.000 0.000
Er2 0.000 0.162 0.000
Er3 0.000 0.371 0.000
Er4 0.197 0.500 0.000
Er5 0.236 0.174 0.000
Al1 0.000 0.500 0.500
Al2 0.101 0.265 0.500
Al3 0.145 0.070 0.500
Pd1 0.156 0.398 0.500
```

Results
* total magnetic moment: 0.000 μB/cell
* DOS at the Fermi energy: 0.583 states/eV per atom
* total DFT energy (no corrections): -239.01 eV per cell


[16]
Below is a geometry-optimized Er4Al24Pd9 structure, with properties calculated at the GGA-PBE level.

CIF file:
```
data_Er4Al24Pd9
_chemical_formula_sum 'Er4 Al24 Pd9'
_cell_length_a 7.530
_cell_length_b 7.534
_cell_length_c 13.172
_cell_angle_alpha 79.10
_cell_angle_beta 84.52
_cell_angle_gamma 60.08
_symmetry_space_group_name_H-M 'P -1'
_symmetry_Int_Tables_number 2
loop_
_symmetry_equiv_pos_as_xyz
'x,y,z'
'-x,-y,-z'
loop_
_atom_site_label
_atom_site_fract_x
_atom_site_fract_y
_atom_site_fract_z
Er1 0.001 0.232 0.309
Er2 0.332 0.562 0.309
Al1 0.000 0.314 0.059
Al2 0.001 0.852 0.444
Al3 0.007 0.057 0.828
Al4 0.129 0.309 0.685
Al5 0.332 0.183 0.453
Al6 0.333 0.021 0.939
Al7 0.333 0.646 0.059
Al8 0.334 0.383 0.829
Al9 0.334 0.482 0.556
Al10 0.336 0.897 0.684
Al11 0.340 0.269 0.170
Al12 0.457 0.897 0.316
Pd1 0.000 0.500 0.500
Pd2 0.008 0.612 0.138
Pd3 0.325 0.954 0.138
Pd4 0.328 0.828 0.500
Pd5 0.333 0.705 0.862
```

Results
* total magnetic moment: 0.000 μB/cell
* DOS at the Fermi energy: 0.197 states/eV per atom
* total DFT energy (no corrections): -180.98 eV per cell


[17]
Below is a geometry-optimized Er8AlPd2 structure, with properties calculated at the GGA-PBE level.

CIF file:
```
data_Er8AlPd2
_chemical_formula_sum 'Er16 Al2 Pd4'
_cell_length_a 8.585
_cell_length_b 13.486
_cell_length_c 5.355
_cell_angle_alpha 90.00
_cell_angle_beta 106.89
_cell_angle_gamma 90.00
_symmetry_space_group_name_H-M 'C 1 2/m 1'
_symmetry_Int_Tables_number 12
loop_
_symmetry_equiv_pos_as_xyz
'x,y,z'
'-x,-y,-z'
'-x,y,-z'
'x,-y,z'
'x+1/2,y+1/2,z'
'-x+1/2,-y+1/2,-z'
'-x+1/2,y+1/2,-z'
'x+1/2,-y+1/2,z'
loop_
_atom_site_label
_atom_site_fract_x
_atom_site_fract_y
_atom_site_fract_z
Er1 0.000 0.236 0.000
Er2 0.114 0.500 0.812
Er3 0.205 0.122 0.582
Al1 0.000 0.000 0.000
Pd1 0.000 0.304 0.500
```

Results
* total magnetic moment: 0.077 μB/cell
* DOS at the Fermi energy: 1.309 states/eV per atom
* total DFT energy (no corrections): -107.92 eV per cell


Result set for energy of formation from the pure elements: -0.680 -0.697 -0.707 -0.658 -0.391 -0.369 -0.798 -0.610 -0.344 -0.749 -0.217 -0.536 -0.533 -0.306 -0.619 -0.707 -0.302 eV/atom, one per record in the order listed.